Entry from Alexandria via LeMat-Bulk: a geometry-optimized ZrTe5 structure (GGA-PBEsol).

total moment = 0.000 μB/f.u.
E_form (uncorrected) = 0.41 eV per atom
raw total energy = -4.0462 eV/atom

```
ZrTe5
1.0
0.000 4.337 4.337
4.337 0.000 4.337
4.337 4.337 0.000
Zr Te
1 5
direct
0.000 0.000 0.000 Zr
0.122 0.626 0.626 Te
0.250 0.250 0.250 Te
0.626 0.122 0.626 Te
0.626 0.626 0.122 Te
0.626 0.626 0.626 Te
```